Here is a geometry-optimized PmSm2Tl structure from Alexandria via LeMat-Bulk. Energies are from GGA-PBE.

Lattice parameters (Å, degrees): 4.9388 4.9575 4.9575 90.00 90.00 90.00
Last column: nearest neighbours and their distance in Å.
Sites, in units of the cell vectors:
Tl (0.5000, 0.0000, 0.0000)  8 Sm 3.50, 4 Pm 3.51
Pm (0.5000, 0.5000, 0.5000)  8 Sm 3.50, 4 Tl 3.51
Sm (0.0000, 0.0000, 0.5000)  4 Tl 3.50, 4 Pm 3.50, 4 Sm 3.51
Sm (0.0000, 0.5000, 0.0000)  4 Tl 3.50, 4 Pm 3.50, 4 Sm 3.51

Values from the calculation:
* E_form: -0.79 eV per formula unit
* space-group type: No. 123


Here is a geometry-optimized Y3NbBi structure from Alexandria via LeMat-Bulk. Energies are from GGA-PBE.

Lattice parameters (Å, degrees): 5.4341 5.4341 5.4341 90.00 90.00 90.00
Last column: nearest neighbours and their distance in Å.
Sites, in units of the cell vectors:
Y (0.5000, 0.0000, 0.0000)  2 Nb 2.72
Y (0.0000, 0.5000, 0.0000)  2 Nb 2.72
Nb (0.0000, 0.0000, 0.0000)  6 Y 2.72
Y (0.0000, 0.0000, 0.5000)  2 Nb 2.72
Bi (0.5000, 0.5000, 0.5000)  12 Y 3.84

Values from the calculation:
* E_form: 1.72 eV per formula unit
* space-group type: No. 221


Here is a geometry-optimized TcW2Br structure from Alexandria via LeMat-Bulk. Energies are from GGA-PBE.

Lattice parameters (Å, degrees): 5.1040 5.1040 2.9372 80.68 80.68 116.19
Last column: nearest neighbours and their distance in Å.
Sites, in units of the cell vectors:
W (0.0000, 0.0000, 0.0000)  4 W 2.70-2.94, 2 Tc 2.73, 2 Br 2.73
W (0.5000, 0.5000, 0.0000)  4 W 2.70-2.94, 2 Br 2.73, 2 Tc 2.73
Tc (0.0000, 0.5000, 0.5000)  2 Br 2.70, 4 W 2.73, 2 Tc 2.94
Br (0.5000, 0.0000, 0.5000)  2 Tc 2.70, 4 W 2.73, 2 Br 2.94

Values from the calculation:
* ΔE_f (raw): 1.0391 eV per atom
* space-group type: No. 12


no.,total DFT energy (no corrections) (eV for the cell shown),offset from the most stable computed form (eV per atom)
1,-17.3,0.000
2,-31.6,0.000
3,-33.8,0.520